The following is a GGA-PBE calculation of BaNiAs2S8 after structural relaxation, from Alexandria.

- DOS at the Fermi energy (states/eV per cell) = 0.03
- spin magnetization (μB per cell) = 0.00
- crystal system = trigonal
- SG = P-3, No. 147
- formation energy without anion corrections (eV/atom) = -0.331
- total DFT energy (no corrections) (eV per atom) = -4.4999

Cell: 6.012 6.012 8.850 Å, 90.00 90.00 120.00°
Positions (direct):
S  0.698  0.982  0.337
S  0.667  0.333  0.043
S  0.284  0.302  0.337
As  0.333  0.667  0.714
S  0.018  0.716  0.337
Ni  0.000  0.000  0.500
S  0.302  0.018  0.663
Ba  0.000  0.000  0.000
S  0.333  0.667  0.957
S  0.716  0.698  0.663
As  0.667  0.333  0.286
S  0.982  0.284  0.663



The following is a GGA-PBE calculation of Be2InMoN after structural relaxation, from Alexandria.

- DOS at the Fermi energy (states/eV per cell) = 2.27
- spin magnetization (μB per cell) = 0.00
- crystal system = tetragonal
- SG = P4/mmm, No. 123
- formation energy without anion corrections (eV/atom) = 0.810
- total DFT energy (no corrections) (eV per atom) = -5.0597

Cell: 4.576 3.908 4.576 Å, 90.00 90.00 90.00°
Positions (direct):
N  0.000  0.500  0.000
In  0.500  0.500  0.500
Mo  0.000  0.000  0.000
Be  0.500  0.000  0.000
Be  0.000  0.000  0.500



The following is a GGA-PBE calculation of SrAcGdTl after structural relaxation, from Alexandria.

- DOS at the Fermi energy (states/eV per cell) = 8.77
- spin magnetization (μB per cell) = 8.54
- formation enthalpy at 0 K (meV/atom) = 76
- crystal system = cubic
- SG = F-43m, No. 216
- total DFT energy (no corrections) (eV per atom) = -5.4833

Cell: 5.875 5.875 5.875 Å, 60.00 60.00 60.00°
Site moments in Bohr magnetons follow the coordinates.
Positions (direct):
Ac  0.500  0.500  0.500  0.23
Tl  0.000  0.000  0.000  -0.01
Gd  0.750  0.750  0.750  7.37
Sr  0.250  0.250  0.250  0.06



The following is a GGA-PBE calculation of Ho2TlI after structural relaxation, from Alexandria.

- E above lowest polymorph (meV per atom) = 0
- DOS at the Fermi energy (states/eV per cell) = 2.20
- spin magnetization (μB per cell) = 0.00
- crystal system = trigonal
- SG = R-3m, No. 166
- formation energy without anion corrections (eV/atom) = -0.459
- total DFT energy (no corrections) (eV per atom) = -3.7267

Cell: 4.482 4.482 7.700 Å, 73.08 73.08 60.00°
Positions (direct):
Ho  0.264  0.264  0.209
Tl  0.000  0.000  0.000
I  0.500  0.500  0.500
Ho  0.736  0.736  0.791



The following is a GGA-PBE calculation of CaPm2In after structural relaxation, from Alexandria.

- E above lowest polymorph (meV per atom) = 44
- DOS at the Fermi energy (states/eV per cell) = 2.98
- spin magnetization (μB per cell) = 0.00
- formation enthalpy at 0 K (meV/atom) = -188
- crystal system = cubic
- SG = Fm-3m, No. 225
- total DFT energy (no corrections) (eV per atom) = -3.7487

Cell: 5.593 5.593 5.593 Å, 60.00 60.00 60.00°
Positions (direct):
Ca  0.000  0.000  0.000
In  0.500  0.500  0.500
Pm  0.250  0.250  0.250
Pm  0.750  0.750  0.750



The following is a GGA-PBE calculation of As3RhBr after structural relaxation, from Alexandria.

- E above lowest polymorph (meV per atom) = 0
- DOS at the Fermi energy (states/eV per cell) = 7.89
- spin magnetization (μB per cell) = 0.00
- crystal system = cubic
- SG = Pm-3m, No. 221
- formation energy without anion corrections (eV/atom) = 0.477
- total DFT energy (no corrections) (eV per atom) = -4.1178

Cell: 4.879 4.879 4.879 Å, 90.00 90.00 90.00°
Positions (direct):
Rh  0.000  0.000  0.000
Br  0.500  0.500  0.500
As  0.000  0.500  0.000
As  0.500  0.000  0.000
As  0.000  0.000  0.500



The following is a GGA-PBE calculation of SiAg3O after structural relaxation, from Alexandria.

- E above lowest polymorph (meV per atom) = 0
- DOS at the Fermi energy (states/eV per cell) = 3.63
- spin magnetization (μB per cell) = 0.00
- crystal system = cubic
- SG = Pm-3m, No. 221
- formation energy without anion corrections (eV/atom) = 0.397
- total DFT energy (no corrections) (eV per atom) = -3.3904

Cell: 4.466 4.466 4.466 Å, 90.00 90.00 90.00°
Positions (direct):
O  0.000  0.000  0.000
Ag  0.500  0.000  0.000
Ag  0.000  0.500  0.000
Ag  0.000  0.000  0.500
Si  0.500  0.500  0.500



The following is a GGA-PBE calculation of Nd4Y3ErS8 after structural relaxation, from Alexandria.

- DOS at the Fermi energy (states/eV per cell) = 7.56
- spin magnetization (μB per cell) = 0.00
- crystal system = trigonal
- SG = R-3m, No. 166
- formation energy without anion corrections (eV/atom) = -2.008
- total DFT energy (no corrections) (eV per atom) = -6.7613

Cell: 7.915 8.041 7.915 Å, 119.49 120.00 90.00°
Positions (direct):
Y  0.000  0.500  0.500
Y  0.500  0.500  0.000
Nd  0.000  0.000  0.000
Nd  0.500  0.000  0.000
S  0.243  0.733  0.486
Er  0.000  0.500  0.000
S  0.757  0.267  0.514
S  0.745  0.735  0.490
Nd  0.500  0.000  0.500
S  0.747  0.733  0.990
S  0.243  0.733  0.990
S  0.757  0.267  0.010
S  0.253  0.267  0.010
Y  0.500  0.500  0.500
S  0.255  0.265  0.510
Nd  0.000  0.000  0.500